No. 1
Material: BaEr2ZnO5
Method: DFT, GGA-PBE
State: optimized geometry

Geometry as extended XYZ:
```
36
Lattice="12.354 0.000 0.000 0.000 5.723 0.000 0.000 0.000 7.095" Properties=species:S:1:pos:R:3 pbc="T T T"
Ba 1.257 1.431 0.554
Ba 4.920 4.293 4.101
Ba 7.434 1.431 2.994
Ba 11.097 4.293 6.542
Er 0.919 4.293 2.841
Er 2.571 1.431 4.394
Er 3.606 4.293 0.847
Er 5.258 1.431 6.388
Er 7.096 4.293 0.707
Er 8.748 1.431 6.249
Er 9.782 4.293 2.701
Er 11.435 1.431 4.255
Zn 1.855 4.293 5.738
Zn 4.322 1.431 2.191
Zn 8.032 4.293 4.905
Zn 10.499 1.431 1.357
O 0.817 5.721 4.698
O 0.817 2.864 4.698
O 1.250 4.293 0.552
O 2.775 2.865 2.556
O 2.775 5.720 2.556
O 3.402 0.003 6.104
O 3.402 2.858 6.104
O 4.927 1.431 4.100
O 5.359 0.002 1.150
O 5.359 2.859 1.150
O 6.994 5.721 5.945
O 6.994 2.864 5.945
O 7.427 4.293 2.995
O 8.951 2.865 0.991
O 8.951 5.720 0.991
O 9.579 0.003 4.539
O 9.579 2.858 4.539
O 11.104 1.431 6.543
O 11.536 0.002 2.397
O 11.536 2.859 2.397
```

Properties
calculated volume: 501.7 Å³ per cell
formation energy from raw total energies: -2894 meV per atom
total moment: 0.00 μB/cell
N(E_F): 0.00 states/eV per atom

=====

No. 2
Material: Ba6Ge2F
Method: DFT, GGA-PBE
State: optimized geometry

Geometry as extended XYZ:
```
18
Lattice="7.525 0.000 0.000 0.000 8.887 0.000 -7.424 0.000 10.952" Properties=species:S:1:pos:R:3 pbc="T T T"
Ba -0.952 0.345 2.667
Ba -4.664 4.098 8.143
Ba 1.278 5.989 0.776
Ba -2.434 7.342 6.252
Ba 2.423 1.508 0.712
Ba -1.289 2.936 6.188
Ba 1.390 5.951 4.764
Ba -2.322 7.379 10.240
Ba 2.535 1.545 4.701
Ba -1.178 2.898 10.177
Ba 4.764 4.789 2.809
Ba 1.052 8.541 8.285
Ge -3.293 1.011 8.247
Ge 0.420 3.433 2.771
Ge -0.319 5.454 8.182
Ge 3.393 7.876 2.706
F 0.000 0.000 0.000
F -3.712 4.443 5.476
```

Properties
calculated volume: 732.4 Å³ per cell
formation energy from raw total energies: -884 meV per atom
total moment: 2.05 μB/cell
N(E_F): 0.60 states/eV per atom

=====

No. 3
Material: BeZn2Hg
Method: DFT, GGA-PBE
State: optimized geometry

Geometry as extended XYZ:
```
4
Lattice="-1.947 1.947 4.083 1.947 -1.947 4.083 1.947 1.947 -4.083" Properties=species:S:1:pos:R:3 pbc="T T T"
Be 0.000 0.000 0.000
Zn 1.947 0.000 2.042
Zn 0.000 1.947 2.042
Hg 0.000 0.000 4.083
```

Properties
calculated volume: 61.9 Å³ per cell
total moment: 0.00 μB/cell
N(E_F): 0.36 states/eV per atom
formation enthalpy at 0 K: 0.3308 eV per atom

=====

No. 4
Material: Sm6SbSe2S3
Method: DFT, GGA-PBE
State: optimized geometry

Geometry as extended XYZ:
```
12
Lattice="9.065 -2.059 0.000 9.065 2.059 0.000 -2.031 0.000 8.107" Properties=species:S:1:pos:R:3 pbc="T T T"
Sm -0.400 0.000 1.870
Sm 5.041 0.000 3.493
Sm 4.301 0.000 7.339
Sm 11.799 0.000 0.768
Sm 11.058 0.000 4.614
Sm 16.499 0.000 6.237
Sb 8.050 0.000 4.054
Se 1.364 0.000 6.766
Se 14.735 0.000 1.341
S 2.329 0.000 2.671
S 9.065 0.000 0.000
S 13.771 0.000 5.436
```

Properties
calculated volume: 302.6 Å³ per cell
formation energy from raw total energies: -1805 meV per atom
total moment: 0.00 μB/cell
N(E_F): 0.32 states/eV per atom

=====

No. 5
Material: CoHSeBr
Method: DFT, GGA-PBE
State: optimized geometry

Geometry as extended XYZ:
```
4
Lattice="3.212 -1.617 0.000 3.212 1.617 0.000 -2.634 0.000 6.561" Properties=species:S:1:pos:R:3 pbc="T T T"
Co 0.000 0.000 0.000
H 2.864 0.000 0.336
Se 1.823 0.000 5.361
Br -0.006 0.000 2.294
```

Properties
calculated volume: 68.2 Å³ per cell
total energy: -0.2846 Ry per atom
total moment: 0.00 μB/cell
N(E_F): 0.61 states/eV per atom

=====

No. 6
Material: Tb2Tm6PuSc3
Method: DFT, GGA-PBE
State: optimized geometry

Geometry as extended XYZ:
```
12
Lattice="2.983 -5.168 0.000 2.983 5.168 0.000 -1.998 0.000 11.122" Properties=species:S:1:pos:R:3 pbc="T T T"
Tb 2.983 3.446 0.000
Tb 2.983 -3.446 0.000
Tm 0.001 1.706 8.265
Tm 1.012 0.000 2.861
Tm 0.001 -1.706 8.265
Tm 3.967 1.706 2.857
Tm 2.956 0.000 8.261
Tm 3.967 -1.706 2.857
Pu 2.983 0.000 0.000
Sc -0.999 0.000 5.561
Sc 1.984 1.730 5.561
Sc 1.984 -1.730 5.561
```

Properties
calculated volume: 342.9 Å³ per cell
total moment: 6.51 μB/cell
N(E_F): 2.18 states/eV per atom
formation enthalpy at 0 K: 0.0623 eV per atom

=====

No. 7
Material: TeMo2As
Method: DFT, GGA-PBE
State: optimized geometry

Geometry as extended XYZ:
```
4
Lattice="3.239 0.000 0.000 0.000 3.239 0.000 0.000 0.000 6.498" Properties=species:S:1:pos:R:3 pbc="T T T"
Te 0.000 0.000 0.000
Mo 1.620 1.620 1.796
Mo 1.620 1.620 4.702
As 0.000 0.000 3.249
```

Properties
calculated volume: 68.2 Å³ per cell
formation energy from raw total energies: 158 meV per atom
total moment: 0.00 μB/cell
N(E_F): 1.09 states/eV per atom

=====

No. 8
Material: HfGeRh
Method: DFT, GGA-PBE
State: optimized geometry

Geometry as extended XYZ:
```
12
Lattice="6.561 0.000 0.000 0.000 4.002 0.000 0.000 0.000 7.605" Properties=species:S:1:pos:R:3 pbc="T T T"
Hf 0.160 1.000 1.455
Hf 3.121 3.001 5.258
Hf 3.440 1.000 2.347
Hf 6.402 3.001 6.150
Ge 1.556 3.001 2.921
Ge 1.725 1.000 6.723
Ge 4.837 3.001 0.882
Ge 5.005 1.000 4.684
Rh 0.972 1.000 4.306
Rh 2.309 3.001 0.504
Rh 4.252 1.000 7.101
Rh 5.590 3.001 3.298
```

Properties
calculated volume: 199.7 Å³ per cell
total moment: 0.00 μB/cell
N(E_F): 0.75 states/eV per atom
formation enthalpy at 0 K: -0.8884 eV per atom

=====

No. 9
Material: CaHoZn
Method: DFT, GGA-PBE
State: optimized geometry

Geometry as extended XYZ:
```
3
Lattice="5.064 0.000 0.000 -2.532 4.386 0.000 0.000 0.000 3.802" Properties=species:S:1:pos:R:3 pbc="T T T"
Ca 0.000 0.000 0.000
Ho 0.000 2.924 2.000
Zn 2.532 1.462 1.244
```

Properties
calculated volume: 84.4 Å³ per cell
total moment: 0.00 μB/cell
N(E_F): 0.91 states/eV per atom
formation enthalpy at 0 K: 0.0331 eV per atom

=====

No. 10
Material: BeAuF3
Method: DFT, GGA-PBE
State: optimized geometry

Geometry as extended XYZ:
```
5
Lattice="4.397 0.000 0.000 0.000 4.397 0.000 0.000 0.000 4.397" Properties=species:S:1:pos:R:3 pbc="T T T"
Be 0.000 0.000 0.000
Au 2.199 2.199 2.199
F 0.000 2.199 2.199
F 2.199 0.000 2.199
F 2.199 2.199 0.000
```

Properties
calculated volume: 85.0 Å³ per cell
formation energy from raw total energies: -298 meV per atom
total moment: 0.90 μB/cell
N(E_F): 0.31 states/eV per atom

=====

No. 11
Material: CaTePt2
Method: DFT, GGA-PBE
State: optimized geometry

Geometry as extended XYZ:
```
4
Lattice="4.025 0.000 0.000 0.000 4.025 0.000 0.000 0.000 5.571" Properties=species:S:1:pos:R:3 pbc="T T T"
Ca 0.000 0.000 0.000
Te 2.012 2.012 2.934
Pt 0.000 0.000 2.817
Pt 2.012 2.012 0.191
```

Properties
calculated volume: 90.2 Å³ per cell
formation energy from raw total energies: -464 meV per atom
total moment: 0.00 μB/cell
N(E_F): 0.36 states/eV per atom

=====

No. 12
Material: Mg2Cd3
Method: DFT, GGA-PBE
State: optimized geometry

Geometry as extended XYZ:
```
5
Lattice="4.832 0.000 0.000 -2.416 4.184 0.000 0.000 0.000 5.951" Properties=species:S:1:pos:R:3 pbc="T T T"
Mg 0.000 2.789 2.112
Mg 2.416 1.395 3.839
Cd 0.000 0.000 2.976
Cd 0.000 2.789 5.169
Cd 2.416 1.395 0.783
```

Properties
calculated volume: 120.3 Å³ per cell
total moment: 0.00 μB/cell
N(E_F): 0.44 states/eV per atom
formation enthalpy at 0 K: -0.0010 eV per atom